Entry 1:
VASP calculation (PBE) on an optimized crystal structure of MgScB2Br.

```
data_MgScB2Br
_space_group_name_H-M_alt 'P 4/m m m'
_space_group_IT_number 123
_space_group_name_Hall '-P 4 2'
_cell_length_a 4.5686
_cell_length_b 4.5686
_cell_length_c 5.1974
_cell_angle_alpha 90.00
_cell_angle_beta 90.00
_cell_angle_gamma 90.00
loop_
_atom_site_label
_atom_site_type_symbol
_atom_site_fract_x
_atom_site_fract_y
_atom_site_fract_z
Mg1 Mg 0.0000 0.0000 0.0000
Sc1 Sc 0.5000 0.5000 0.5000
B1 B 0.0000 0.5000 0.5000
Br1 Br 0.5000 0.5000 0.0000
```

Total energy: -3.552 eV per atom
ρ: 2.61 Mg/m³

---

Entry 2:
VASP calculation (PBE) on an optimized crystal structure of MgBSeBr2.

```
data_MgBSeBr2
_space_group_name_H-M_alt 'P 4/m m m'
_space_group_IT_number 123
_space_group_name_Hall '-P 4 2'
_cell_length_a 5.1977
_cell_length_b 5.1977
_cell_length_c 5.2022
_cell_angle_alpha 90.00
_cell_angle_beta 90.00
_cell_angle_gamma 90.00
loop_
_atom_site_label
_atom_site_type_symbol
_atom_site_fract_x
_atom_site_fract_y
_atom_site_fract_z
Mg1 Mg 0.0000 0.0000 0.0000
B1 B 0.5000 0.5000 0.5000
Se1 Se 0.0000 0.0000 0.5000
Br1 Br 0.0000 0.5000 0.0000
```

Total energy: -2.512 eV per atom
Energy above the lowest structure with this stoichiometry: 28.5 kJ/mol of atoms
ρ: 3.24 Mg/m³

---

Entry 3:
VASP calculation (PBE) on an optimized crystal structure of MgBSeBr2.

```
data_MgBSeBr2
_space_group_name_H-M_alt 'P 4/m m m'
_space_group_IT_number 123
_space_group_name_Hall '-P 4 2'
_cell_length_a 4.6142
_cell_length_b 4.6142
_cell_length_c 4.8635
_cell_angle_alpha 90.00
_cell_angle_beta 90.00
_cell_angle_gamma 90.00
loop_
_atom_site_label
_atom_site_type_symbol
_atom_site_fract_x
_atom_site_fract_y
_atom_site_fract_z
Mg1 Mg 0.0000 0.0000 0.0000
B1 B 0.5000 0.5000 0.5000
Se1 Se 0.5000 0.5000 0.0000
Br1 Br 0.0000 0.5000 0.5000
```

Total energy: -2.807 eV per atom
Energy above the lowest structure with this stoichiometry: 0.0 kJ/mol of atoms
ρ: 4.39 Mg/m³